w:
A plane-wave DFT calculation with PBE-GGA was carried out for an optimized crystal structure of NaYC.

Structure (POSCAR):
```
NaYC
1.0
3.315 -1.914 0.000
0.000 3.828 0.000
0.000 0.000 11.709
Na C Y
2 2 2
direct
0.667 0.333 0.000 Na
0.667 0.333 0.500 Na
0.000 0.000 0.670 C
0.000 0.000 0.330 C
0.333 0.667 0.730 Y
0.333 0.667 0.270 Y
```

## Properties
Size of the total moment (Bohr magnetons per cell): 1.05

x:
A plane-wave DFT calculation with PBE-GGA was carried out for an optimized crystal structure of NaYC.

Structure (POSCAR):
```
NaYC
1.0
-4.104 -0.971 -0.890
-2.493 -1.798 3.022
-4.242 5.662 2.943
C Na Y
2 2 2
direct
0.268 0.268 0.197 C
0.732 0.732 0.803 C
0.864 0.864 0.407 Na
0.136 0.136 0.593 Na
0.382 0.382 0.855 Y
0.618 0.618 0.145 Y
```

## Properties
Size of the total moment (Bohr magnetons per cell): 0.00

Most stable: x. Least stable: w.